Record 1
{"formula": "LiNdGdRh", "functional": "PBE", "state": "optimized geometry", "formation_enthalpy_0k_mev_per_atom": -388, "volume_a3_per_cell": 90.7, "total_energy_ev_per_atom": -7.416, "lattice_angstrom": [[-4.085, -1.179, -2.713], [-1.968, -4.635, 0.289], [-4.432, -0.720, 2.298]], "species": ["Nd", "Rh", "Gd", "Li"], "frac_coords": [[0.750, 0.750, 0.750], [0.000, 0.000, 0.000], [0.250, 0.250, 0.250], [0.500, 0.500, 0.500]]}

***

Record 2
{"formula": "Nd8AsPt3Br4", "functional": "PBE", "state": "optimized geometry", "volume_a3_per_cell": 476.9, "total_energy_ev_per_atom": -5.476, "raw_formation_energy_ev_per_fu": -20.005, "lattice_angstrom": [[8.539, 0.000, 0.000], [0.000, 9.011, 0.333], [-4.269, -4.267, 6.041]], "species": ["Nd", "Nd", "Nd", "Nd", "Nd", "Nd", "Nd", "Nd", "Br", "Br", "Br", "Br", "As", "Pt", "Pt", "Pt"], "frac_coords": [[0.732, 0.696, 0.464], [0.726, 0.706, 0.966], [0.268, 0.304, 0.536], [0.761, 0.294, 0.034], [0.239, 0.706, 0.966], [0.761, 0.294, 0.521], [0.274, 0.294, 0.034], [0.239, 0.706, 0.479], [0.000, 0.000, 0.500], [0.000, 0.000, 0.000], [0.500, 0.000, 0.000], [0.500, 0.000, 0.500], [0.000, 0.500, 0.000], [0.500, 0.500, 0.500], [0.500, 0.500, 0.000], [0.000, 0.500, 0.500]]}